Record 1
A relaxed RbS2NCl crystal, computed with PBE-GGA.

abc: 4.8073 4.8073 5.5959
angles: 90.00 90.00 90.00
With the nearest neighbours (Å) after each atom.
Fractional coordinates of all 5 atoms:
Rb (0.5000, 0.5000, 0.5000)  4 N 3.40, 8 S 3.69
Cl (0.0000, 0.0000, 0.0000)  4 S 2.40
S (0.0000, 0.5000, 0.0000)  2 Cl 2.40
S (0.5000, 0.0000, 0.0000)  2 Cl 2.40
N (0.0000, 0.0000, 0.5000)  2 Cl 2.80

Summary:
Space-group type = P4/mmm, No. 123
V = 129.3 Å³/cell
Energy above the most stable polymorph in this dataset = 0.672 eV/atom
Total moment = 3.18 μB per cell
D(E_F) = 2.28 states/eV/cell
E_form (uncorrected) = 1025 meV/atom

***

Record 2
A relaxed Sm2GaBr crystal, computed with PBE-GGA.

abc: 3.7872 3.7872 8.9305
angles: 77.76 77.76 60.00
With the nearest neighbours (Å) after each atom.
Fractional coordinates of all 4 atoms:
Ga (0.6671, 0.6671, 0.9986)  6 Sm 2.99-3.00
Sm (0.0788, 0.0788, 0.7636)  3 Ga 2.99, 3 Br 3.14
Br (0.4991, 0.4991, 0.5028)  6 Sm 3.14-3.19
Sm (0.2550, 0.2550, 0.2350)  3 Ga 3.00, 3 Br 3.19

Summary:
Space-group type = R3m, No. 160
V = 107.6 Å³/cell
Energy above the most stable polymorph in this dataset = 0.034 eV/atom
Total moment = 0.00 μB per cell
D(E_F) = 1.56 states/eV/cell
E_form (uncorrected) = -844 meV/atom